# 1
SmTh2Sn2 after structural relaxation, computed with PBE.

```
data_SmTh2Sn2
_chemical_formula_sum 'Sm2 Th4 Sn4'
_space_group_name_H-M_alt 'P 1'
_space_group_IT_number 1
_space_group_name_Hall 'P 1'
_cell_length_a 5.691
_cell_length_b 6.456
_cell_length_c 9.078
_cell_angle_alpha 110.83
_cell_angle_beta 90.00
_cell_angle_gamma 90.00
loop_
_atom_site_label
_atom_site_type_symbol
_atom_site_fract_x
_atom_site_fract_y
_atom_site_fract_z
_atom_site_occupancy
Sm1 Sm 0.000 0.000 0.000 1
Sm2 Sm 0.500 0.000 0.000 1
Th1 Th 0.750 0.416 0.832 1
Th2 Th 0.750 0.800 0.600 1
Th3 Th 0.250 0.584 0.168 1
Th4 Th 0.250 0.200 0.400 1
Sn1 Sn 0.750 0.393 0.275 1
Sn2 Sn 0.250 0.118 0.725 1
Sn3 Sn 0.250 0.607 0.725 1
Sn4 Sn 0.750 0.882 0.275 1
```

Values from the calculation:
The value obtained for the density of states at the Fermi level is 8.6 states/eV/cell. As for the magnetic moment: 0.4 Bohr magnetons per cell. The value obtained for the formation energy is -0.27 eV per atom.

=====

# 2
Pm4Zn5Cd3 after structural relaxation, computed with PBE.

```
data_Pm4Zn5Cd3
_chemical_formula_sum 'Pm4 Zn5 Cd3'
_space_group_name_H-M_alt 'P 1'
_space_group_IT_number 1
_space_group_name_Hall 'P 1'
_cell_length_a 4.901
_cell_length_b 6.960
_cell_length_c 9.493
_cell_angle_alpha 83.96
_cell_angle_beta 75.04
_cell_angle_gamma 69.39
loop_
_atom_site_label
_atom_site_type_symbol
_atom_site_fract_x
_atom_site_fract_y
_atom_site_fract_z
_atom_site_occupancy
Pm1 Pm 0.967 0.267 0.800 1
Pm2 Pm 0.251 0.724 0.775 1
Pm3 Pm 0.749 0.276 0.225 1
Pm4 Pm 0.033 0.733 0.200 1
Zn1 Zn 0.570 0.993 0.868 1
Zn2 Zn 0.500 0.500 0.500 1
Zn3 Zn 0.312 0.371 0.006 1
Zn4 Zn 0.688 0.629 0.994 1
Zn5 Zn 0.430 0.007 0.132 1
Cd1 Cd 0.310 0.955 0.425 1
Cd2 Cd 0.000 0.500 0.500 1
Cd3 Cd 0.690 0.045 0.575 1
```

Values from the calculation:
The value obtained for the density of states at the Fermi level is 7.1 states/eV/cell. As for the magnetic moment: 0.0 Bohr magnetons per cell. The value obtained for the formation energy is -0.16 eV per atom.

=====

# 3
LaPr5Dy2Th after structural relaxation, computed with PBE.

```
data_LaPr5Dy2Th
_chemical_formula_sum 'La2 Pr10 Dy4 Th2'
_space_group_name_H-M_alt 'P 1'
_space_group_IT_number 1
_space_group_name_Hall 'P 1'
_cell_length_a 5.782
_cell_length_b 10.667
_cell_length_c 10.688
_cell_angle_alpha 90.00
_cell_angle_beta 90.00
_cell_angle_gamma 105.73
loop_
_atom_site_label
_atom_site_type_symbol
_atom_site_fract_x
_atom_site_fract_y
_atom_site_fract_z
_atom_site_occupancy
La1 La 0.587 0.173 0.947 1
La2 La 0.413 0.827 0.447 1
Pr1 Pr 0.385 0.769 0.027 1
Pr2 Pr 0.722 0.445 0.816 1
Pr3 Pr 0.478 0.956 0.741 1
Pr4 Pr 0.291 0.583 0.702 1
Pr5 Pr 0.985 0.969 0.524 1
Pr6 Pr 0.615 0.231 0.527 1
Pr7 Pr 0.278 0.555 0.316 1
Pr8 Pr 0.522 0.044 0.241 1
Pr9 Pr 0.709 0.417 0.202 1
Pr10 Pr 0.015 0.031 0.024 1
Dy1 Dy 0.884 0.768 0.818 1
Dy2 Dy 0.113 0.225 0.736 1
Dy3 Dy 0.116 0.232 0.318 1
Dy4 Dy 0.887 0.775 0.236 1
Th1 Th 0.802 0.603 0.513 1
Th2 Th 0.198 0.397 0.013 1
```

Values from the calculation:
The value obtained for the density of states at the Fermi level is 25.8 states/eV/cell. As for the magnetic moment: 0.0 Bohr magnetons per cell. The value obtained for the formation energy is 0.16 eV per atom.

=====

# 4
V6Mo5Os after structural relaxation, computed with PBE.

```
data_V6Mo5Os
_chemical_formula_sum 'V6 Mo5 Os1'
_space_group_name_H-M_alt 'P 1'
_space_group_IT_number 1
_space_group_name_Hall 'P 1'
_cell_length_a 4.326
_cell_length_b 6.120
_cell_length_c 7.516
_cell_angle_alpha 114.02
_cell_angle_beta 106.72
_cell_angle_gamma 90.00
loop_
_atom_site_label
_atom_site_type_symbol
_atom_site_fract_x
_atom_site_fract_y
_atom_site_fract_z
_atom_site_occupancy
Mo1 Mo 0.665 0.165 0.330 1
Mo2 Mo 0.333 0.333 0.666 1
Mo3 Mo 0.000 0.500 0.000 1
Mo4 Mo 0.667 0.667 0.334 1
Mo5 Mo 0.335 0.835 0.670 1
Os1 Os 0.000 0.000 0.000 1
V1 V 0.834 0.584 0.668 1
V2 V 0.834 0.084 0.668 1
V3 V 0.500 0.750 0.000 1
V4 V 0.500 0.250 0.000 1
V5 V 0.166 0.916 0.332 1
V6 V 0.166 0.416 0.332 1
```

Values from the calculation:
The value obtained for the density of states at the Fermi level is 6.4 states/eV/cell. As for the magnetic moment: 0.0 Bohr magnetons per cell. The value obtained for the formation energy is -0.21 eV per atom.

=====

# 5
NbIr3O after structural relaxation, computed with PBE.

```
data_NbIr3O
_chemical_formula_sum 'Nb1 Ir3 O1'
_space_group_name_H-M_alt 'P 1'
_space_group_IT_number 1
_space_group_name_Hall 'P 1'
_cell_length_a 4.804
_cell_length_b 4.804
_cell_length_c 4.804
_cell_angle_alpha 90.00
_cell_angle_beta 90.00
_cell_angle_gamma 90.00
loop_
_atom_site_label
_atom_site_type_symbol
_atom_site_fract_x
_atom_site_fract_y
_atom_site_fract_z
_atom_site_occupancy
Nb1 Nb 0.000 0.000 0.000 1
Ir1 Ir 0.000 0.500 0.000 1
Ir2 Ir 0.000 0.000 0.500 1
Ir3 Ir 0.500 0.000 0.000 1
O1 O 0.500 0.500 0.500 1
```

Values from the calculation:
The value obtained for the density of states at the Fermi level is 9.3 states/eV/cell. For the formation energy without anion corrections, the calculation gives 214.6 kJ/mol of atoms. The distance to the lowest polymorph of the same formula comes out at 1.732 eV per atom. As for the magnetic moment: 3.3 Bohr magnetons per cell.

=====

# 6
Na12MgCd6 after structural relaxation, computed with PBE.

```
data_Na12MgCd6
_chemical_formula_sum 'Na12 Mg1 Cd6'
_space_group_name_H-M_alt 'P 1'
_space_group_IT_number 1
_space_group_name_Hall 'P 1'
_cell_length_a 8.193
_cell_length_b 8.193
_cell_length_c 8.193
_cell_angle_alpha 87.28
_cell_angle_beta 87.28
_cell_angle_gamma 87.28
loop_
_atom_site_label
_atom_site_type_symbol
_atom_site_fract_x
_atom_site_fract_y
_atom_site_fract_z
_atom_site_occupancy
Na1 Na 0.475 0.193 0.573 1
Na2 Na 0.193 0.573 0.475 1
Na3 Na 0.573 0.475 0.193 1
Na4 Na 0.525 0.807 0.427 1
Na5 Na 0.807 0.427 0.525 1
Na6 Na 0.427 0.525 0.807 1
Na7 Na 0.846 0.970 0.619 1
Na8 Na 0.381 0.154 0.030 1
Na9 Na 0.030 0.381 0.154 1
Na10 Na 0.154 0.030 0.381 1
Na11 Na 0.619 0.846 0.970 1
Na12 Na 0.970 0.619 0.846 1
Mg1 Mg 0.000 0.000 0.000 1
Cd1 Cd 0.109 0.253 0.739 1
Cd2 Cd 0.747 0.261 0.891 1
Cd3 Cd 0.261 0.891 0.747 1
Cd4 Cd 0.891 0.747 0.261 1
Cd5 Cd 0.253 0.739 0.109 1
Cd6 Cd 0.739 0.109 0.253 1
```

Values from the calculation:
The value obtained for the density of states at the Fermi level is 7.3 states/eV/cell. As for the magnetic moment: 0.0 Bohr magnetons per cell. The value obtained for the formation energy is -0.06 eV per atom.

=====

# 7
RbAc2Bi after structural relaxation, computed with PBE.

```
data_RbAc2Bi
_chemical_formula_sum 'Rb1 Ac2 Bi1'
_space_group_name_H-M_alt 'P 1'
_space_group_IT_number 1
_space_group_name_Hall 'P 1'
_cell_length_a 5.245
_cell_length_b 5.563
_cell_length_c 5.563
_cell_angle_alpha 90.00
_cell_angle_beta 90.00
_cell_angle_gamma 90.00
loop_
_atom_site_label
_atom_site_type_symbol
_atom_site_fract_x
_atom_site_fract_y
_atom_site_fract_z
_atom_site_occupancy
Ac1 Ac 0.000 0.000 0.500 1
Ac2 Ac 0.000 0.500 0.000 1
Bi1 Bi 0.500 0.000 0.000 1
Rb1 Rb 0.500 0.500 0.500 1
```

Values from the calculation:
The value obtained for the density of states at the Fermi level is 3.4 states/eV/cell. The distance to the lowest polymorph of the same formula comes out at 0.069 eV per atom. As for the magnetic moment: 0.0 Bohr magnetons per cell. The value obtained for the formation energy is -0.09 eV per atom.

=====

> magnetic moment of number 5 (NbIr3O)?

3.3 Bohr magnetons per cell